Entry 1:
Computed, not measured: a crystal of BaBe2Cl relaxed with PBEsol at the meta-GGA SCAN level of DFT.

Unit cell a=4.1129 b=4.1129 c=6.0169 alpha=90.00 beta=90.00 gamma=90.00
Last column: nearest neighbours and their distance in Å.
Element x y z (fractional)
Be: 0.0000 0.0000 0.8240  1 Be 2.12
Be: 0.0000 0.0000 0.1760  1 Be 2.12
Cl: 0.5000 0.5000 0.0000  2 Ba 3.01, 8 Be 3.10
Ba: 0.5000 0.5000 0.5000  2 Cl 3.01

Final energy in eV per atom: -13.707
ΔE_f (raw) in eV per formula unit: 1.407
E above lowest polymorph in eV/atom: 0.647
Magnetic moment in μB/cell: 0.0

---

Entry 2:
Computed, not measured: a crystal of BaBeCl2 relaxed with PBEsol at the meta-GGA SCAN level of DFT.

Unit cell a=4.4904 b=4.3545 c=6.0196 alpha=111.20 beta=111.90 gamma=90.00
Last column: nearest neighbours and their distance in Å.
Element x y z (fractional)
Cl: 0.7511 0.2511 0.5022  4 Be 3.13, 4 Ba 3.37-3.42, 4 Cl 3.37-3.42
Cl: 0.0069 0.0069 0.0138  4 Ba 3.13, 4 Be 3.29-3.49, 4 Cl 3.37-3.42
Ba: 0.4948 0.4948 0.9895  8 Cl 3.13-3.42, 4 Be 3.35-3.43
Be: 0.2473 0.7473 0.4945  8 Cl 3.13-3.49, 4 Ba 3.35-3.43

Final energy in eV per atom: -16.002
ΔE_f (raw) in eV per formula unit: -4.148
Magnetic moment in μB/cell: 0.0

---

Entry 3:
Computed, not measured: a crystal of BaBe2Cl relaxed with PBEsol at the meta-GGA SCAN level of DFT.

Unit cell a=4.1092 b=4.1092 c=6.5013 alpha=108.42 beta=108.42 gamma=90.00
Last column: nearest neighbours and their distance in Å.
Element x y z (fractional)
Be: 0.2500 0.7500 0.5000  4 Be 2.91
Be: 0.7500 0.2500 0.5000  4 Be 2.91
Cl: 0.5000 0.5000 0.0000  4 Ba 2.91
Ba: 0.0000 0.0000 0.0000  4 Cl 2.91

Final energy in eV per atom: -13.928
ΔE_f (raw) in eV per formula unit: 0.522
E above lowest polymorph in eV/atom: 0.425
Magnetic moment in μB/cell: 0.0

---

Entry 4:
Computed, not measured: a crystal of BaBe2Cl relaxed with PBEsol at the meta-GGA SCAN level of DFT.

Unit cell a=4.3722 b=4.2453 c=5.3038 alpha=90.00 beta=114.34 gamma=90.00
Last column: nearest neighbours and their distance in Å.
Element x y z (fractional)
Ba: 0.5000 0.0000 0.0000  4 Cl 3.05
Cl: 0.0000 0.5000 0.0000  2 Be 2.15
Be: 0.2223 0.5000 0.4447  1 Cl 2.15, 2 Be 2.25
Be: 0.7777 0.5000 0.5553  1 Cl 2.15, 2 Be 2.25

Final energy in eV per atom: -14.354
ΔE_f (raw) in eV per formula unit: -1.180
E above lowest polymorph in eV/atom: 0.000
Magnetic moment in μB/cell: 0.0

---

Entry 5:
Computed, not measured: a crystal of Ba3Zr6BeCl18 relaxed with PBEsol at the meta-GGA SCAN level of DFT.

Unit cell a=9.6740 b=9.6740 c=18.1800 alpha=74.57 beta=74.57 gamma=60.00
Last column: nearest neighbours and their distance in Å.
Element x y z (fractional)
Cl: 0.4266 0.2430 0.6728  2 Zr 2.58
Cl: 0.7570 0.3424 0.3272  2 Zr 2.58
Cl: 0.4717 0.8664 0.6581  1 Zr 2.67
Cl: 0.0283 0.4963 0.8419  1 Zr 2.67
Cl: 0.5734 0.7570 0.3272  2 Zr 2.58
Cl: 0.3664 0.9717 0.1581  1 Zr 2.67
Cl: 0.7430 0.9266 0.1728  2 Zr 2.58
Cl: 0.8664 0.0037 0.6581  1 Zr 2.67
Cl: 0.1978 0.2339 0.9965  2 Zr 2.53-2.55
Cl: 0.2430 0.6576 0.6728  2 Zr 2.58
Cl: 0.8022 0.7661 0.0035  2 Zr 2.53-2.55
Cl: 0.5283 0.1336 0.3419  1 Zr 2.67
Cl: 0.4963 0.6336 0.8419  1 Zr 2.67
Cl: 0.6576 0.4266 0.6728  2 Zr 2.58
Cl: 0.7339 0.6978 0.4965  2 Zr 2.53-2.55
Cl: 0.4282 0.8022 0.0035  2 Zr 2.53-2.55
Cl: 0.0037 0.4717 0.6581  1 Zr 2.67
Cl: 0.1576 0.7430 0.1728  2 Zr 2.58
Cl: 0.5718 0.1978 0.9965  2 Zr 2.53-2.55
Cl: 0.6978 0.0718 0.4965  2 Zr 2.53-2.55
Cl: 0.5037 0.3664 0.1581  1 Zr 2.67
Cl: 0.9266 0.1576 0.1728  2 Zr 2.58
Cl: 0.9963 0.5283 0.3419  1 Zr 2.67
Cl: 0.0734 0.8424 0.8272  2 Zr 2.58
Cl: 0.2570 0.0734 0.8272  2 Zr 2.58
Cl: 0.6336 0.0283 0.8419  1 Zr 2.67
Cl: 0.7661 0.4282 0.0035  2 Zr 2.53-2.55
Cl: 0.2661 0.3022 0.5035  2 Zr 2.53-2.55
Cl: 0.9282 0.2661 0.5035  2 Zr 2.53-2.55
Cl: 0.2339 0.5718 0.9965  2 Zr 2.53-2.55
Cl: 0.3424 0.5734 0.3272  2 Zr 2.58
Cl: 0.0718 0.7339 0.4965  2 Zr 2.53-2.55
Cl: 0.1336 0.9963 0.3419  1 Zr 2.67
Cl: 0.3022 0.9282 0.5035  2 Zr 2.53-2.55
Cl: 0.8424 0.2570 0.8272  2 Zr 2.58
Cl: 0.9717 0.5037 0.1581  1 Zr 2.67
Zr: 0.1644 0.9896 0.0763  1 Be 2.32, 4 Cl 2.53-2.58
Zr: 0.0104 0.2303 0.9237  1 Be 2.32, 4 Cl 2.53-2.58
Zr: 0.2303 0.8356 0.9237  1 Be 2.32, 4 Cl 2.53-2.58
Zr: 0.7303 0.5104 0.4237  1 Be 2.32, 4 Cl 2.53-2.58
Zr: 0.8356 0.0104 0.9237  1 Be 2.32, 4 Cl 2.53-2.58
Zr: 0.5104 0.3356 0.4237  1 Be 2.32, 4 Cl 2.53-2.58
Zr: 0.2697 0.4896 0.5763  1 Be 2.32, 4 Cl 2.53-2.58
Zr: 0.7697 0.1644 0.0763  1 Be 2.32, 4 Cl 2.53-2.58
Zr: 0.6644 0.2697 0.5763  1 Be 2.32, 4 Cl 2.53-2.58
Zr: 0.4896 0.6644 0.5763  1 Be 2.32, 4 Cl 2.53-2.58
Zr: 0.3356 0.7303 0.4237  1 Be 2.32, 4 Cl 2.53-2.58
Zr: 0.9896 0.7697 0.0763  1 Be 2.32, 4 Cl 2.53-2.58
Ba: 0.7500 0.7500 0.7500  6 Cl 3.11
Ba: 0.1110 0.1110 0.6671  6 Cl 3.07-3.42
Ba: 0.6110 0.6110 0.1671  6 Cl 3.07-3.42
Ba: 0.2500 0.2500 0.2500  6 Cl 3.11
Ba: 0.8890 0.8890 0.3329  6 Cl 3.07-3.42
Ba: 0.3890 0.3890 0.8329  6 Cl 3.07-3.42
Be: 0.0000 0.0000 0.0000  6 Zr 2.32
Be: 0.5000 0.5000 0.5000  6 Zr 2.32

Final energy in eV per atom: -18.250
ΔE_f (raw) in eV per formula unit: -60.204
Magnetic moment in μB/cell: 0.0

---

Entry 6:
Computed, not measured: a crystal of BaBe4Co relaxed with PBEsol at the meta-GGA SCAN level of DFT.

Unit cell a=4.8236 b=4.8236 c=4.8236 alpha=60.00 beta=60.00 gamma=60.00
Last column: nearest neighbours and their distance in Å.
Element x y z (fractional)
Be: 0.6175 0.6175 0.6175  3 Be 2.27
Be: 0.6175 0.1475 0.6175  3 Be 2.27
Be: 0.6175 0.6175 0.1475  3 Be 2.27
Be: 0.1475 0.6175 0.6175  3 Be 2.27
Co: 0.2500 0.2500 0.2500  12 Be 2.81, 4 Ba 2.95
Ba: 0.0000 0.0000 0.0000  12 Be 2.84, 4 Co 2.95

Final energy in eV per atom: -11.678
Energy relative to the elements in meV per atom: 700
Magnetic moment in μB/cell: 1.0

---

Entry 7:
Computed, not measured: a crystal of BaBe2CoHg relaxed with PBEsol at the meta-GGA SCAN level of DFT.

Unit cell a=4.8612 b=5.2614 c=5.2614 alpha=90.00 beta=90.00 gamma=90.00
Last column: nearest neighbours and their distance in Å.
Element x y z (fractional)
Ba: 0.0000 0.0000 0.0000  2 Co 2.43, 4 Be 2.63
Hg: 0.5000 0.5000 0.5000  8 Be 3.58, 4 Co 3.72
Be: 0.0000 0.0000 0.5000  2 Ba 2.63
Be: 0.0000 0.5000 0.0000  2 Ba 2.63
Co: 0.5000 0.0000 0.0000  2 Ba 2.43

Final energy in eV per atom: -24.623
Energy relative to the elements in meV per atom: 2122
Magnetic moment in μB/cell: 1.6

---

Entry 8:
Computed, not measured: a crystal of Ba2BeCoPb relaxed with PBEsol at the meta-GGA SCAN level of DFT.

Unit cell a=4.4554 b=6.5782 c=6.5782 alpha=90.00 beta=90.00 gamma=90.00
Last column: nearest neighbours and their distance in Å.
Element x y z (fractional)
Ba: 0.0000 0.0000 0.5000  2 Pb 3.29
Ba: 0.0000 0.5000 0.0000  2 Pb 3.29
Pb: 0.0000 0.0000 0.0000  2 Be 2.23
Be: 0.5000 0.0000 0.0000  2 Pb 2.23
Co: 0.5000 0.5000 0.5000  8 Ba 3.97

Final energy in eV per atom: -34.855
Energy relative to the elements in meV per atom: 453
Magnetic moment in μB/cell: 1.8

---

Entry 9:
Computed, not measured: a crystal of BaBeCr relaxed with PBEsol at the meta-GGA SCAN level of DFT.

Unit cell a=4.8482 b=4.8482 c=4.8482 alpha=60.00 beta=60.00 gamma=60.00
Last column: nearest neighbours and their distance in Å.
Element x y z (fractional)
Cr: 0.2500 0.2500 0.2500  4 Ba 2.97, 4 Be 2.97
Be: 0.5000 0.5000 0.5000  4 Cr 2.97
Ba: 0.0000 0.0000 0.0000  4 Cr 2.97

Final energy in eV per atom: -19.746
Energy relative to the elements in meV per atom: 1017
Magnetic moment in μB/cell: 3.8

---

Entry 10:
Computed, not measured: a crystal of BaBeCr2 relaxed with PBEsol at the meta-GGA SCAN level of DFT.

Unit cell a=4.3494 b=4.2578 c=4.3728 alpha=90.00 beta=90.00 gamma=90.00
Last column: nearest neighbours and their distance in Å.
Element x y z (fractional)
Cr: 0.0000 0.0000 0.0000  4 Ba 3.04, 4 Be 3.05, 4 Cr 3.08
Cr: 0.5000 0.0000 0.5000  4 Be 3.04, 4 Ba 3.05, 4 Cr 3.08
Ba: 0.5000 0.5000 0.0000  8 Cr 3.04-3.05, 4 Be 3.08
Be: 0.0000 0.5000 0.5000  8 Cr 3.04-3.05, 4 Ba 3.08

Final energy in eV per atom: -19.109
Energy relative to the elements in meV per atom: 1060
Magnetic moment in μB/cell: 7.7

---

Entry 11:
Computed, not measured: a crystal of Ba2BeCr relaxed with PBEsol at the meta-GGA SCAN level of DFT.

Unit cell a=4.2457 b=4.2471 c=8.8987 alpha=103.89 beta=90.00 gamma=119.99
Last column: nearest neighbours and their distance in Å.
Element x y z (fractional)
Ba: 0.0358 0.0716 0.1097  3 Be 3.34, 3 Cr 3.34
Ba: 0.2141 0.4282 0.6406  3 Cr 3.34, 3 Be 3.34-3.35
Cr: 0.7917 0.5833 0.3751  3 Be 2.45
Be: 0.4584 0.9169 0.3746  3 Cr 2.45

Final energy in eV per atom: -25.094
Energy relative to the elements in meV per atom: 366
Magnetic moment in μB/cell: 4.0

---

Entry 12:
Computed, not measured: a crystal of BaBeCr2 relaxed with PBEsol at the meta-GGA SCAN level of DFT.

Unit cell a=3.1644 b=5.4463 c=5.7901 alpha=118.05 beta=105.86 gamma=90.00
Last column: nearest neighbours and their distance in Å.
Element x y z (fractional)
Ba: 0.5000 0.0000 0.0000  4 Be 3.15, 2 Ba 3.16, 8 Cr 3.29-3.40
Cr: 0.3096 0.3096 0.6193  2 Be 2.43
Cr: 0.6904 0.6904 0.3807  2 Be 2.43
Be: 0.0000 0.5000 0.0000  4 Cr 2.43

Final energy in eV per atom: -19.402
Energy relative to the elements in meV per atom: 766
Magnetic moment in μB/cell: 8.5

---

Which formula does entry 12 have?
BaBeCr2

---

The highest final energy belongs to which entry?
BaBe4Co